Entry 1:
A relaxed BiTeOF2 crystal, computed with PBE.

Cell: 4.6144 4.6144 4.0515 Å, 90.00 90.00 90.00°
Space group P4/mmm (No. 123)
Asymmetric unit:
Bi1 0.0000 0.0000 0.0000 [1 per cell]
Te1 0.5000 0.5000 0.0000 [1 per cell]
O1 0.5000 0.5000 0.5000 [1 per cell]
F1 0.0000 0.5000 0.5000 [2 per cell]

## Properties
- Formation energy without anion corrections: -2.86 eV/f.u.
- Raw total energy: -3.716 eV/atom

---

Entry 2:
A relaxed BiTe2OF crystal, computed with PBE.

Cell: 5.9508 5.9508 4.3998 Å, 90.00 90.00 90.00°
Space group P4/mmm (No. 123)
Asymmetric unit:
Bi1 0.0000 0.0000 0.0000 [1 per cell]
Te1 0.0000 0.5000 0.0000 [2 per cell]
O1 0.5000 0.5000 0.5000 [1 per cell]
F1 0.0000 0.0000 0.5000 [1 per cell]

## Properties
- Formation energy without anion corrections: 1.72 eV/f.u.
- Raw total energy: -3.055 eV/atom

---

Entry 3:
A relaxed BiTeOF2 crystal, computed with PBE.

Cell: 4.6983 4.6983 4.5073 Å, 90.00 90.00 90.00°
Space group P4/mmm (No. 123)
Asymmetric unit:
Bi1 0.0000 0.0000 0.0000 [1 per cell]
Te1 0.5000 0.5000 0.5000 [1 per cell]
O1 0.0000 0.0000 0.5000 [1 per cell]
F1 0.0000 0.5000 0.0000 [2 per cell]

## Properties
- Formation energy without anion corrections: -4.97 eV/f.u.
- Raw total energy: -4.139 eV/atom